Hf2V3Ge | GGA-PBE | relaxed

Calculated values
The calculated formation energy comes out at -277 meV/atom. The volume comes out at 198 Å³/cell. The offset from the most stable computed form is 0 meV/atom. The raw total energy comes out at -53.54 eV per formula unit.

a = 5.1741 Å, b = 5.1741 Å, c = 8.5373 Å
α = 90.00°, β = 90.00°, γ = 120.00°
Last column: nearest neighbours and their distance in Å.
Element x y z (fractional)
V (0.8219, 0.1781, 0.2500)  2 V 2.41, 2 Ge 2.67
V (0.6438, 0.8219, 0.7500)  2 V 2.41, 2 Ge 2.67
Hf (0.3333, 0.6667, 0.4392)  9 V 3.00-3.05, 3 Ge 3.03, 4 Hf 3.16-3.23
Hf (0.6667, 0.3333, 0.5608)  9 V 3.00-3.05, 3 Ge 3.03, 4 Hf 3.16-3.23
V (0.8219, 0.6438, 0.2500)  2 V 2.41, 2 Ge 2.67
Ge (0.0000, 0.0000, 0.0000)  6 V 2.67
Hf (0.3333, 0.6667, 0.0608)  9 V 3.00-3.05, 3 Ge 3.03, 4 Hf 3.16-3.23
V (0.1781, 0.3562, 0.7500)  2 V 2.41, 2 Ge 2.67
Hf (0.6667, 0.3333, 0.9392)  9 V 3.00-3.05, 3 Ge 3.03, 4 Hf 3.16-3.23
Ge (0.0000, 0.0000, 0.5000)  6 V 2.67
V (0.3562, 0.1781, 0.2500)  2 V 2.41, 2 Ge 2.67
V (0.1781, 0.8219, 0.7500)  2 V 2.41, 2 Ge 2.67

Hf3V2Ge4 | GGA-PBE | relaxed

Calculated values
The calculated formation energy comes out at -444 meV/atom. The volume comes out at 158 Å³/cell. The raw total energy comes out at -70.56 eV per formula unit.

a = 3.7085 Å, b = 6.1736 Å, c = 8.0868 Å
α = 115.32°, β = 90.00°, γ = 107.48°
Last column: nearest neighbours and their distance in Å.
Element x y z (fractional)
Hf (0.0000, 0.0000, 0.0000)  6 Ge 2.78-2.91
Ge (0.0649, 0.1298, 0.3927)  3 V 2.49-2.62, 2 Hf 2.77, 1 Ge 2.78
Ge (0.9351, 0.8702, 0.6073)  3 V 2.49-2.62, 2 Hf 2.77, 1 Ge 2.78
Hf (0.6289, 0.2577, 0.6958)  7 Ge 2.70-2.89, 2 V 2.97
Hf (0.3711, 0.7423, 0.3042)  7 Ge 2.70-2.89, 2 V 2.97
V (0.6957, 0.3914, 0.3644)  4 Ge 2.43-2.62, 2 V 2.71
Ge (0.6909, 0.3818, 0.0603)  1 V 2.43, 1 Hf 2.70
Ge (0.3091, 0.6182, 0.9397)  1 V 2.43, 1 Hf 2.70
V (0.3043, 0.6086, 0.6356)  4 Ge 2.43-2.62, 2 V 2.71

HfV3Ge | GGA-PBE | relaxed

Calculated values
The calculated formation energy comes out at 692 meV/atom. The volume comes out at 92 Å³/cell. The offset from the most stable computed form is 857 meV/atom. The raw total energy comes out at -38.47 eV per formula unit.

a = 4.5092 Å, b = 4.5092 Å, c = 4.5092 Å
α = 90.00°, β = 90.00°, γ = 90.00°
Last column: nearest neighbours and their distance in Å.
Element x y z (fractional)
Ge (0.0000, 0.0000, 0.0000)  6 V 2.25
V (0.0000, 0.0000, 0.5000)  2 Ge 2.25
Hf (0.5000, 0.5000, 0.5000)  12 V 3.19
V (0.5000, 0.0000, 0.0000)  2 Ge 2.25
V (0.0000, 0.5000, 0.0000)  2 Ge 2.25

HfV3Ge | GGA-PBE | relaxed

Calculated values
The calculated formation energy comes out at 1646 meV/atom. The volume comes out at 98 Å³/cell. The offset from the most stable computed form is 1811 meV/atom. The raw total energy comes out at -33.70 eV per formula unit.

a = 4.6175 Å, b = 4.6175 Å, c = 4.6175 Å
α = 90.00°, β = 90.00°, γ = 90.00°
Last column: nearest neighbours and their distance in Å.
Element x y z (fractional)
V (0.5000, 0.0000, 0.0000)  2 Hf 2.31
V (0.0000, 0.5000, 0.0000)  2 Hf 2.31
Hf (0.0000, 0.0000, 0.0000)  6 V 2.31
Ge (0.5000, 0.5000, 0.5000)  12 V 3.27
V (0.0000, 0.0000, 0.5000)  2 Hf 2.31

HfV2Ge | GGA-PBE | relaxed

Calculated values
The calculated formation energy comes out at -159 meV/atom. The volume comes out at 63 Å³/cell. The raw total energy comes out at -33.44 eV per formula unit.

a = 4.3242 Å, b = 3.8241 Å, c = 3.8241 Å
α = 90.00°, β = 90.00°, γ = 90.00°
Last column: nearest neighbours and their distance in Å.
Element x y z (fractional)
Ge (0.5000, 0.0000, 0.0000)  4 Hf 2.70, 8 V 2.89
V (0.0000, 0.5000, 0.0000)  4 V 2.70, 4 Hf 2.89, 4 Ge 2.89
Hf (0.5000, 0.5000, 0.5000)  4 Ge 2.70, 8 V 2.89
V (0.0000, 0.0000, 0.5000)  4 V 2.70, 4 Hf 2.89, 4 Ge 2.89

HfVGe3 | GGA-PBE | relaxed

Calculated values
The calculated formation energy comes out at 418 meV/atom. The volume comes out at 101 Å³/cell. The raw total energy comes out at -30.83 eV per formula unit.

a = 4.6562 Å, b = 4.6562 Å, c = 4.6562 Å
α = 90.00°, β = 90.00°, γ = 90.00°
Last column: nearest neighbours and their distance in Å.
Element x y z (fractional)
V (0.0000, 0.0000, 0.0000)  6 Ge 2.33
Hf (0.5000, 0.5000, 0.5000)  12 Ge 3.29
Ge (0.5000, 0.0000, 0.0000)  2 V 2.33
Ge (0.0000, 0.5000, 0.0000)  2 V 2.33
Ge (0.0000, 0.0000, 0.5000)  2 V 2.33

HfVGe2 | GGA-PBE | relaxed

Calculated values
The calculated formation energy comes out at -183 meV/atom. The volume comes out at 66 Å³/cell. The offset from the most stable computed form is 56 meV/atom. The raw total energy comes out at -29.04 eV per formula unit.

a = 3.3474 Å, b = 3.3474 Å, c = 5.8923 Å
α = 90.00°, β = 90.00°, γ = 90.00°
Last column: nearest neighbours and their distance in Å.
Element x y z (fractional)
V (0.5000, 0.5000, 0.0000)  8 Ge 2.69, 2 Hf 2.95
Ge (0.0000, 0.0000, 0.2186)  1 Ge 2.58, 4 V 2.69
Hf (0.5000, 0.5000, 0.5000)  8 Ge 2.89, 2 V 2.95
Ge (0.0000, 0.0000, 0.7814)  1 Ge 2.58, 4 V 2.69

Hf2VGe4 | GGA-PBE | relaxed

Calculated values
The calculated formation energy comes out at 98 meV/atom. The volume comes out at 146 Å³/cell. The offset from the most stable computed form is 342 meV/atom. The raw total energy comes out at -46.81 eV per formula unit.

a = 4.7142 Å, b = 4.7142 Å, c = 7.3811 Å
α = 71.38°, β = 71.38°, γ = 90.00°
Last column: nearest neighbours and their distance in Å.
Element x y z (fractional)
Ge (0.0000, 0.5000, 0.0000)  2 V 2.36
Ge (0.1872, 0.1872, 0.6255)  1 V 2.47, 1 Hf 2.65
Hf (0.6117, 0.6117, 0.7766)  5 Ge 2.65-2.78, 1 Hf 2.94
V (0.0000, 0.0000, 0.0000)  6 Ge 2.36-2.47
Hf (0.3883, 0.3883, 0.2234)  5 Ge 2.65-2.78, 1 Hf 2.94
Ge (0.8128, 0.8128, 0.3745)  1 V 2.47, 1 Hf 2.65
Ge (0.5000, 0.0000, 0.0000)  2 V 2.36

HfVGe2 | GGA-PBE | relaxed

Calculated values
The calculated formation energy comes out at -104 meV/atom. The volume comes out at 68 Å³/cell. The offset from the most stable computed form is 134 meV/atom. The raw total energy comes out at -28.72 eV per formula unit.

a = 4.5722 Å, b = 4.5722 Å, c = 4.5722 Å
α = 60.00°, β = 60.00°, γ = 60.00°
Last column: nearest neighbours and their distance in Å.
Element x y z (fractional)
V (0.0000, 0.0000, 0.0000)  8 Ge 2.80
Ge (0.7500, 0.7500, 0.7500)  4 Hf 2.80, 4 V 2.80
Ge (0.2500, 0.2500, 0.2500)  4 Hf 2.80, 4 V 2.80
Hf (0.5000, 0.5000, 0.5000)  8 Ge 2.80

Hf2VGe4 | GGA-PBE | relaxed

Calculated values
The calculated formation energy comes out at -244 meV/atom. The volume comes out at 128 Å³/cell. The offset from the most stable computed form is 0 meV/atom. The raw total energy comes out at -49.20 eV per formula unit.

a = 5.8004 Å, b = 5.8004 Å, c = 5.7407 Å
α = 123.55°, β = 123.55°, γ = 84.62°
Last column: nearest neighbours and their distance in Å.
Element x y z (fractional)
Ge (0.2864, 0.3377, 0.0000)  1 V 2.57, 4 Hf 2.73-2.83, 2 Ge 2.84
Hf (0.7152, 0.2848, 0.5000)  8 Ge 2.73-3.00, 2 V 2.87
Ge (0.1465, 0.2437, 0.3903)  1 V 2.56, 2 Ge 2.84, 2 Hf 2.86
Hf (0.2152, 0.7848, 0.5000)  8 Ge 2.73-3.00, 2 V 2.87
Ge (0.6623, 0.7136, 0.0000)  1 V 2.57, 4 Hf 2.73-2.83, 2 Ge 2.84
Ge (0.7563, 0.8535, 0.6097)  1 V 2.56, 2 Ge 2.84, 2 Hf 2.86
V (0.2181, 0.7819, 0.0000)  4 Ge 2.56-2.57